42
Lattice="7.463 0.000 0.000 -3.732 6.463 0.000 0.000 0.000 9.515" Properties=species:S:1:pos:R:3 comment="LiCoPO4 (PBE with a Hubbard U, relaxed)" energy_ev_per_cell=-276.78 e_above_lowest_polymorph_mev_per_atom=55.9 dos_at_fermi_per_ev_atom=0.000 m_tot_mub_per_cell=18.2 pbc="T T T"
Li -0.594 1.658 0.000
Li -1.999 6.149 0.000
Li 1.733 0.314 4.758
Li 2.593 5.120 0.000
Li 3.137 4.806 4.758
Li 6.325 1.344 4.758
Co -1.832 3.820 2.147
Co 1.339 2.967 2.147
Co 1.900 2.643 6.905
Co 0.493 6.140 2.147
Co 4.224 0.324 6.905
Co 5.071 3.496 6.905
P 0.000 0.000 2.364
P 0.000 0.000 7.121
P 0.000 4.309 4.950
P 0.000 4.309 8.799
P 3.732 2.154 0.193
P 3.732 2.154 4.041
O 0.000 0.000 3.905
O 0.000 0.000 8.663
O -2.509 5.670 1.809
O -1.014 3.242 5.420
O 0.075 1.455 1.809
O -1.433 4.623 8.304
O 1.222 0.793 6.566
O 0.444 2.911 8.304
O 0.000 4.309 0.864
O 0.000 4.309 3.347
O -0.417 5.720 5.420
O 2.299 1.840 3.547
O 1.431 3.965 5.420
O 3.314 0.743 0.662
O 0.989 5.392 8.304
O 2.718 3.221 0.662
O 3.732 2.154 5.621
O 3.732 2.154 8.105
O 4.720 1.071 3.547
O 2.434 5.801 1.809
O 4.175 3.552 3.547
O 6.165 0.662 6.566
O 5.162 2.499 0.662
O 3.807 5.008 6.566